Nb2V2Os, optimized geometry, DFT GGA-PBE; E_tot = -9.101 eV per atom; excess energy over the best structure of this formula in the dataset = 1021 meV per atom
1.0
3.6820 0.0000 0.0000
0.0000 3.6820 0.0000
0.0000 0.0000 12.4102
Nb V Os
4 4 2
Direct
0.0000 0.5000 0.2500
0.0000 0.5000 0.7500
0.5000 0.0000 0.2500
0.5000 0.0000 0.7500
0.0000 0.0000 0.0780
0.0000 0.0000 0.9220
0.5000 0.5000 0.4220
0.5000 0.5000 0.5780
0.0000 0.0000 0.5000
0.5000 0.5000 0.0000

=====

NbVOs2, optimized geometry, DFT GGA-PBE; E_tot = -10.627 eV per atom
1.0
2.9817 0.0000 0.0000
0.0000 2.9817 0.0000
0.0000 0.0000 6.7890
Nb V Os
1 1 2
Direct
0.0000 0.0000 0.0000
0.0000 0.0000 0.5000
0.5000 0.5000 0.2813
0.5000 0.5000 0.7187

=====

Nb6VOs5, optimized geometry, DFT GGA-PBE; E_tot = -10.662 eV per atom
1.0
2.2558 -6.7693 0.0000
2.2558 6.7693 0.0000
0.0000 0.0000 6.3566
Nb V Os
6 1 5
Direct
0.0000 0.0000 0.2453
0.0000 0.0000 0.7547
0.3372 0.6628 0.2458
0.3372 0.6628 0.7542
0.6628 0.3372 0.2458
0.6628 0.3372 0.7542
0.5000 0.5000 0.0000
0.1678 0.8322 0.0000
0.1697 0.8303 0.5000
0.5000 0.5000 0.5000
0.8303 0.1697 0.5000
0.8322 0.1678 0.0000

=====

- E_tot of number 1 (Nb2V2Os)?
  -9.101 eV per atom

=====

- Which formula does entry 3 have?
  Nb6VOs5

=====

- What is the formula in the second record?
  NbVOs2

=====

- Which of these has the highest E_tot?
  Nb2V2Os